(i)
TaFe2HPd PBE optimized geometry; SG = P4/mmm; density of states at the Fermi level = 3.276 states/eV/cell
1.0
3.786 0.000 0.000
0.000 3.786 0.000
0.000 0.000 3.941
H Fe Pd Ta
1 2 1 1
Direct
0.000 0.000 0.000 H
0.000 0.500 0.000 Fe
0.500 0.000 0.000 Fe
0.500 0.500 0.500 Pd
0.000 0.000 0.500 Ta

***

(ii)
TaFe2HPd PBE optimized geometry; SG = P4/mmm; density of states at the Fermi level = 2.865 states/eV/cell
1.0
3.852 0.000 0.000
0.000 3.852 0.000
0.000 0.000 3.776
H Fe Pd Ta
1 2 1 1
Direct
0.000 0.000 0.000 H
0.000 0.500 0.000 Fe
0.500 0.000 0.000 Fe
0.000 0.000 0.500 Pd
0.500 0.500 0.500 Ta

***

How far above the most stable structure does each one sit? In kJ/mol of atoms: (i) 0.6; (ii) 0.0.

***

(i)
Pm2FeH PBE optimized geometry; SG = R-3m; density of states at the Fermi level = 4.085 states/eV/cell
1.0
-3.174 -0.535 0.699
-1.818 -1.920 -1.963
0.528 -7.694 4.274
H Fe Pm
1 1 2
Direct
0.500 0.500 0.500 H
0.000 0.000 0.000 Fe
0.105 0.105 0.685 Pm
0.895 0.895 0.315 Pm

***

(ii)
Pm2FeH PBE optimized geometry; SG = P4/mmm; density of states at the Fermi level = 2.373 states/eV/cell
1.0
3.256 0.000 0.000
0.000 3.256 0.000
0.000 0.000 7.048
H Fe Pm
1 1 2
Direct
0.500 0.500 0.500 H
0.500 0.500 0.000 Fe
0.000 0.000 0.755 Pm
0.000 0.000 0.245 Pm

***

How far above the most stable structure does each one sit? In kJ/mol of atoms: (i) 31.2; (ii) 0.0.

***

(i)
PrFeH6 PBE optimized geometry; SG = R-3m; density of states at the Fermi level = 2.111 states/eV/cell
1.0
4.295 0.000 1.536
1.873 3.865 1.536
0.856 0.536 4.379
Pr Fe H
1 1 6
Direct
0.500 0.500 0.500 Pr
0.000 0.000 0.000 Fe
0.101 0.101 0.216 H
0.101 0.583 0.216 H
0.417 0.899 0.784 H
0.899 0.417 0.784 H
0.899 0.899 0.784 H
0.583 0.101 0.216 H

***

(ii)
PrFeH6 PBE optimized geometry; SG = Fm-3m; density of states at the Fermi level = 7.659 states/eV/cell
1.0
-0.838 4.602 -2.477
-1.945 0.040 -4.922
-4.945 1.671 -0.878
Pr Fe H
1 1 6
Direct
0.500 0.500 0.500 Pr
0.000 0.000 0.000 Fe
0.793 0.793 0.207 H
0.793 0.207 0.207 H
0.207 0.793 0.793 H
0.207 0.207 0.793 H
0.207 0.793 0.207 H
0.793 0.207 0.793 H

***

How far above the most stable structure does each one sit? In kJ/mol of atoms: (i) 0.0; (ii) 29.4.

***

(i)
FeHPt3 PBE optimized geometry; SG = Pm-3m; density of states at the Fermi level = 2.875 states/eV/cell
1.0
-2.988 -1.975 2.880
3.160 0.085 3.337
-1.487 4.149 1.303
H Fe Pt
1 1 3
Direct
0.500 0.500 0.500 H
0.000 0.000 0.000 Fe
0.000 0.500 0.000 Pt
0.000 0.000 0.500 Pt
0.500 0.000 0.000 Pt

***

(ii)
FeHPt3 PBE optimized geometry; SG = Pm-3m; density of states at the Fermi level = 5.215 states/eV/cell
1.0
-0.211 1.186 3.806
3.399 -1.937 0.792
2.082 3.283 -0.907
H Fe Pt
1 1 3
Direct
0.000 0.000 0.000 H
0.500 0.500 0.500 Fe
0.000 0.500 0.000 Pt
0.000 0.000 0.500 Pt
0.500 0.000 0.000 Pt

***

How far above the most stable structure does each one sit? In kJ/mol of atoms: (i) 143.9; (ii) 0.0.

***

(i)
Fe3HPt PBE optimized geometry; SG = Pm-3m; density of states at the Fermi level = 5.678 states/eV/cell
1.0
4.746 0.000 0.000
0.000 4.746 0.000
0.000 0.000 4.746
H Fe Pt
1 3 1
Direct
0.500 0.500 0.500 H
0.000 0.500 0.000 Fe
0.000 0.000 0.500 Fe
0.500 0.000 0.000 Fe
0.000 0.000 0.000 Pt

***

(ii)
Fe3HPt PBE optimized geometry; SG = Pm-3m; density of states at the Fermi level = 3.430 states/eV/cell
1.0
-0.752 -3.425 -1.360
3.682 -0.637 -0.430
0.161 -1.417 3.480
H Fe Pt
1 3 1
Direct
0.000 0.000 0.000 H
0.000 0.500 0.000 Fe
0.000 0.000 0.500 Fe
0.500 0.000 0.000 Fe
0.500 0.500 0.500 Pt

***

How far above the most stable structure does each one sit? In kJ/mol of atoms: (i) 158.3; (ii) 0.0.

***

(i)
Fe2H2Pt PBE optimized geometry; SG = P4/mbm; density of states at the Fermi level = 3.940 states/eV/cell
1.0
-2.018 -0.305 5.561
-2.144 -5.416 -1.075
2.282 -1.056 0.770
H Fe Pt
4 4 2
Direct
0.391 0.891 0.000 H
0.891 0.609 0.000 H
0.609 0.109 0.000 H
0.109 0.391 0.000 H
0.138 0.638 0.500 Fe
0.638 0.862 0.500 Fe
0.862 0.362 0.500 Fe
0.362 0.138 0.500 Fe
0.000 0.000 0.000 Pt
0.500 0.500 0.000 Pt

***

(ii)
Fe2H2Pt PBE optimized geometry; SG = I4/mmm; density of states at the Fermi level = 4.210 states/eV/cell
1.0
3.232 0.000 0.000
0.000 3.232 0.000
1.616 1.616 3.966
H Fe Pt
2 2 1
Direct
0.750 0.250 0.500 H
0.250 0.750 0.500 H
0.328 0.328 0.344 Fe
0.672 0.672 0.656 Fe
0.000 0.000 0.000 Pt

***

How far above the most stable structure does each one sit? In kJ/mol of atoms: (i) 3.0; (ii) 0.0.

***

(i)
FeH2Pt2 PBE optimized geometry; SG = I4/mmm; density of states at the Fermi level = 2.032 states/eV/cell
1.0
-0.973 0.299 2.656
0.562 -2.740 0.514
5.572 0.328 3.529
H Fe Pt
2 1 2
Direct
0.750 0.250 0.500 H
0.250 0.750 0.500 H
0.000 0.000 0.000 Fe
0.357 0.357 0.286 Pt
0.643 0.643 0.714 Pt

***

(ii)
FeH2Pt2 PBE optimized geometry; SG = P4/mbm; density of states at the Fermi level = 6.133 states/eV/cell
1.0
6.119 0.000 0.000
0.000 6.119 0.000
0.000 0.000 2.834
H Fe Pt
4 2 4
Direct
0.285 0.785 0.000 H
0.785 0.715 0.000 H
0.715 0.215 0.000 H
0.215 0.285 0.000 H
0.000 0.000 0.000 Fe
0.500 0.500 0.000 Fe
0.164 0.664 0.500 Pt
0.664 0.836 0.500 Pt
0.836 0.336 0.500 Pt
0.336 0.164 0.500 Pt

***

How far above the most stable structure does each one sit? In kJ/mol of atoms: (i) 0.0; (ii) 7.1.